1.
Material: TbPu2Te3
Method: DFT, PBE
State: optimized geometry

Cell: 4.4111 6.2450 7.6397 Å, 114.12 106.78 90.00°
Each line ends with the local moment (μB).
Atoms (fractional coordinates):
Tb1 0.0000 0.5000 0.0000  0.10
Pu1 0.6671 0.1671 0.3342  5.55
Pu2 0.3329 0.8329 0.6658  5.55
Te1 0.3349 0.3349 0.6697  -0.06
Te2 0.0000 0.0000 0.0000  -0.06
Te3 0.6651 0.6651 0.3303  -0.06

Output
Theoretical density ... 9.4 g/cm³
Formation energy without anion corrections ... -1179 meV per atom

2.
Material: TbPuTe2
Method: DFT, PBE
State: optimized geometry

Cell: 3.7905 3.7905 7.6306 Å, 90.00 90.00 90.00°
Each line ends with the local moment (μB).
Atoms (fractional coordinates):
Te1 0.0000 0.0000 0.7455  -0.07
Te2 0.0000 0.0000 0.2545  -0.07
Tb1 0.5000 0.5000 0.5000  0.31
Pu1 0.5000 0.5000 0.0000  5.65

Output
Theoretical density ... 10.0 g/cm³
Formation energy without anion corrections ... -1083 meV per atom
ΔE to the lowest computed polymorph ... 0.145 eV/atom

3.
Material: TbPu4Te5
Method: DFT, PBE
State: optimized geometry

Cell: 4.4201 6.2579 11.7042 Å, 105.51 100.88 90.00°
Each line ends with the local moment (μB).
Atoms (fractional coordinates):
Tb1 0.0000 0.0000 0.0000  0.07
Pu1 0.4005 0.4005 0.8010  5.54
Pu2 0.8008 0.8008 0.6016  5.56
Pu3 0.1992 0.1992 0.3984  5.56
Pu4 0.5995 0.5995 0.1990  5.54
Te1 0.5988 0.0988 0.1975  -0.06
Te2 0.8000 0.3000 0.5999  -0.10
Te3 0.2000 0.7000 0.4001  -0.10
Te4 0.0000 0.5000 0.0000  -0.06
Te5 0.4012 0.9012 0.8025  -0.06

Output
Theoretical density ... 9.6 g/cm³
Formation energy without anion corrections ... -1142 meV per atom

4.
Material: Tb3PuTe6
Method: DFT, PBE
State: optimized geometry

Cell: 4.3781 12.5237 12.8309 Å, 109.34 90.00 90.00°
Each line ends with the local moment (μB).
Atoms (fractional coordinates):
Tb1 0.7500 0.4309 0.8347  -0.01
Tb2 0.2500 0.5691 0.1653  -0.01
Tb3 0.7500 0.6817 0.5020  0.00
Tb4 0.2500 0.3183 0.4980  0.00
Tb5 0.7500 0.1540 0.0786  -0.01
Tb6 0.2500 0.8460 0.9214  -0.01
Pu1 0.7500 0.0448 0.6929  5.25
Pu2 0.2500 0.9552 0.3071  5.25
Te1 0.7500 0.4842 0.6188  -0.02
Te2 0.2500 0.5158 0.3812  -0.02
Te3 0.7500 0.9161 0.1020  -0.05
Te4 0.2500 0.0839 0.8980  -0.05
Te5 0.7500 0.3932 0.0628  -0.01
Te6 0.2500 0.6068 0.9372  -0.01
Te7 0.7500 0.7474 0.2795  -0.05
Te8 0.2500 0.2526 0.7205  -0.05
Te9 0.7500 0.1145 0.4644  -0.11
Te10 0.2500 0.8855 0.5356  -0.11
Te11 0.7500 0.8060 0.7504  -0.05
Te12 0.2500 0.1940 0.2496  -0.05

Output
Theoretical density ... 7.4 g/cm³
Formation energy without anion corrections ... -1281 meV per atom

Calculated total magnetic moment in order - 11.85, 6.47, 23.52, 5.01 μB per formula unit
Calculated total DFT energy (no corrections) in order - -0.6100, -0.5435, -0.6548, -0.4401 Ry per atom